1.
# MgGa2Au

A geometry-optimized MgGa2Au structure (PBE-GGA, Alexandria).

It has space group P4/mmm (No. 123), with a = 3.424 Å, b = 3.424 Å, c = 6.460 Å, α = 90.00°, β = 90.00° and γ = 90.00°. The distinct sites, in fractional coordinates, are Mg at (0.000, 0.000, 0.000), Ga at (0.500, 0.500, 0.266) and Au at (0.000, 0.000, 0.500).

For the formation energy, the calculation gives -0.14 eV per atom. The density of states at the Fermi level is 0.7 states/eV/f.u.

2.
# PmPr3Ag2

A geometry-optimized PmPr3Ag2 structure (PBE-GGA, Alexandria).

It has space group P4/mmm (No. 123), with a = 3.751 Å, b = 3.751 Å, c = 12.781 Å, α = 90.00°, β = 90.00° and γ = 90.00°. The distinct sites, in fractional coordinates, are Pm at (0.000, 0.000, 0.000), Pr at (0.500, 0.500, 0.200), Pr at (0.500, 0.500, 0.500) and Ag at (0.000, 0.000, 0.348).

For the formation energy, the calculation gives -0.15 eV per atom. The density of states at the Fermi level is 7.9 states/eV/f.u.

3.
# MnCd2Ni

A geometry-optimized MnCd2Ni structure (PBE-GGA, Alexandria).

It has space group R-3m (No. 166, hexagonal axes), with a = 2.9459 Å, b = 2.9459 Å, c = 27.1166 Å, α = 90.00°, β = 90.00° and γ = 120.00°. The distinct sites, in fractional coordinates, are Mn at (0.0000, 0.0000, 0.0000), Cd at (0.0000, 0.0000, 0.2452) and Ni at (0.0000, 0.0000, 0.5000).

For the formation energy, the calculation gives 0.27 eV per atom. For the energy above the most stable polymorph in this dataset, the calculation gives 77 kJ/mol of formula units. The density of states at the Fermi level is 2.1 states/eV/f.u.

4.
# AgMoSe2N

A geometry-optimized AgMoSe2N structure (PBE-GGA, Alexandria).

It has space group P4/mmm (No. 123), with a = 5.101 Å, b = 5.101 Å, c = 3.799 Å, α = 90.00°, β = 90.00° and γ = 90.00°. The distinct sites, in fractional coordinates, are Ag at (0.000, 0.000, 0.000), Mo at (0.500, 0.500, 0.500), Se at (0.000, 0.500, 0.500) and N at (0.500, 0.500, 0.000).

The calculation puts the formation energy (no corrections) at 0.255 eV/atom. For the energy above the most stable polymorph in this dataset, the calculation gives 0 kJ/mol of formula units. The density of states at the Fermi level is 3.8 states/eV/f.u.